Compound: Th4P6O23
Source: the Alexandria database
Functional: SCAN
Structure: single point on PBEsol structure

Geometry as POSCAR:
```
Th4P6O23
1.0
7.0765 0.0000 0.0000
0.0000 10.4398 0.0000
0.0000 0.0000 12.8643
Th P O
8 12 46
Cartesian
0.0000 0.1082 0.0000
0.0000 4.9778 2.9362
0.0000 5.4620 9.3683
0.0000 10.3317 6.4321
3.5382 0.1061 4.2167
3.5382 5.0230 1.2566
3.5382 5.4169 7.6887
3.5382 10.3337 10.6488
0.0000 1.2859 3.5739
0.0000 3.9061 12.8025
0.0000 6.5338 6.3703
0.0000 9.1539 10.0060
2.0428 2.3407 8.4032
2.0428 8.0992 1.9711
3.5382 1.3308 0.6372
3.5382 3.9151 4.2365
3.5382 6.5247 10.6686
3.5382 9.1091 7.0694
5.0336 2.3407 8.4032
5.0336 8.0992 1.9711
0.0000 0.6951 2.1698
0.0000 2.4061 12.5756
0.0000 2.8095 3.5000
0.0000 4.6584 11.4628
0.0000 5.7815 5.0307
0.0000 7.6304 9.9322
0.0000 8.0337 6.1435
0.0000 9.7447 8.6020
1.2022 0.7715 4.4185
1.2022 9.6683 10.8507
1.2083 4.3644 0.8244
1.2083 6.0755 7.2565
1.3669 1.5986 7.2838
1.3669 8.8412 0.8517
1.5403 3.7893 8.5769
1.5403 6.6506 2.1448
2.1770 1.5953 9.7085
2.1770 8.8446 3.2763
2.3398 0.8299 12.6468
2.3453 4.3792 3.3366
2.3453 6.0607 9.7687
2.3398 9.6099 6.2146
3.5382 0.7087 2.0307
3.5382 2.4198 4.4830
3.5382 2.7066 7.8374
3.5382 2.8571 0.7483
3.5382 4.6918 5.5684
3.5382 5.7480 12.0005
3.5382 7.5827 7.1804
3.5382 7.7332 1.4053
3.5382 8.0200 10.9151
3.5382 9.7312 8.4628
4.7366 0.8299 12.6468
4.7311 4.3792 3.3366
4.7311 6.0607 9.7687
4.7366 9.6099 6.2146
4.8995 1.5953 9.7085
4.8995 8.8446 3.2763
5.5361 3.7893 8.5769
5.5361 6.6506 2.1448
5.7095 1.5986 7.2838
5.7095 8.8412 0.8517
5.8681 4.3644 0.8244
5.8681 6.0755 7.2565
5.8743 0.7715 4.4185
5.8743 9.6683 10.8507
```

D(E_F) = 0.00 states/eV/cell
Space group = Pmc2_1 (26)
E_tot = -1388.22 eV per cell